No. 1
KCd2Sb | PBE-GGA | relaxed

a b c (Å): 3.451 4.615 7.818
angles (deg): 90.00 102.53 90.00
Element x y z (fractional)
1 K 0.000 0.000 0.000
2 Cd 0.332 0.500 0.669
3 Cd 0.760 0.000 0.515
4 Sb 0.639 0.500 0.284

Output
- Final energy: -1.87 eV/atom
- ΔE_f (raw): -106 meV/atom

=====

No. 2
Ca4Sn8Pt | PBE-GGA | relaxed

a b c (Å): 4.578 4.706 16.367
angles (deg): 90.00 90.00 90.00
Element x y z (fractional)
1 Ca 0.000 0.000 0.000
2 Ca 0.000 0.500 0.477
3 Ca 0.500 0.000 0.786
4 Ca 0.500 0.500 0.299
5 Sn 0.000 0.000 0.318
6 Sn 0.000 0.000 0.615
7 Sn 0.000 0.500 0.149
8 Sn 0.000 0.500 0.859
9 Sn 0.500 0.000 0.153
10 Sn 0.500 0.000 0.452
11 Sn 0.500 0.500 0.616
12 Sn 0.500 0.500 0.977
13 Pt 0.000 0.500 0.699

Output
- Final energy: -4.03 eV/atom
- E_form: -0.49 eV/atom

=====

No. 3
SrTaW2 | PBE-GGA | relaxed

a b c (Å): 5.912 5.912 5.912
angles (deg): 148.25 129.69 60.73
Element x y z (fractional)
1 Sr 0.000 0.000 0.000
2 Ta 0.278 0.778 0.500
3 W 0.544 0.544 0.000
4 W 0.733 0.233 0.500

Output
- Final energy: -8.84 eV/atom
- Energy above the lowest structure with this stoichiometry: 324 meV/atom
- E_form: 1.02 eV/atom